DFT (GGA-PBE) results for crystalline AlZnTc2Ir at its relaxed geometry.

Summary:
calculated formation energy	1411	meV/atom
total energy	-5.511	eV per atom
total moment	0.682	μB per atom
density of states at the Fermi level	5.07	states/eV/cell
crystal system	tetragonal

a = 4.516 Å, b = 4.512 Å, c = 4.516 Å
α = 90.00°, β = 90.00°, γ = 90.00°
Each line ends with the local moment (μB).
Fractional coordinates of all 5 atoms:
Zn  0.000  0.000  0.000  0.06
Ir  0.000  0.500  0.000  0.30
Tc  0.500  0.000  0.000  1.20
Tc  0.000  0.000  0.500  1.58
Al  0.500  0.500  0.500  -0.03

---

DFT (GGA-PBE) results for crystalline YBRh at its relaxed geometry.

Summary:
calculated formation energy	-595	meV/atom
total energy	-7.426	eV per atom
total moment	0.000	μB per atom
density of states at the Fermi level	4.87	states/eV/cell
crystal system	monoclinic
relative energy among the computed polymorphs	0	meV per atom

a = 3.274 Å, b = 5.115 Å, c = 6.139 Å
α = 107.15°, β = 105.47°, γ = 90.00°
Fractional coordinates of all 6 atoms:
Rh  0.393  0.232  0.786
B  0.767  0.115  0.535
Y  0.121  0.303  0.241
Y  0.879  0.697  0.759
B  0.233  0.885  0.465
Rh  0.607  0.768  0.214

---

DFT (GGA-PBE) results for crystalline HoBe2Pd2Pt at its relaxed geometry.

Summary:
calculated formation energy	-567	meV/atom
total energy	-5.310	eV per atom
total moment	0.000	μB per atom
density of states at the Fermi level	1.58	states/eV/cell
crystal system	tetragonal

a = 4.219 Å, b = 4.219 Å, c = 5.531 Å
α = 90.00°, β = 90.00°, γ = 90.00°
Fractional coordinates of all 6 atoms:
Be  0.000  0.500  0.000
Ho  0.000  0.000  0.500
Pd  0.500  0.500  0.751
Pt  0.000  0.000  0.000
Pd  0.500  0.500  0.249
Be  0.500  0.000  0.000

---

DFT (GGA-PBE) results for crystalline BC2 at its relaxed geometry.

Summary:
calculated formation energy	344	meV/atom
total energy	-8.031	eV per atom
total moment	0.000	μB per atom
density of states at the Fermi level	1.56	states/eV/cell
crystal system	monoclinic
relative energy among the computed polymorphs	104	meV per atom

a = 4.409 Å, b = 4.409 Å, c = 8.097 Å
α = 117.99°, β = 117.99°, γ = 33.23°
Fractional coordinates of all 12 atoms:
B  0.481  0.481  0.407
C  0.178  0.178  0.199
C  0.160  0.160  0.711
C  0.667  0.667  0.823
C  0.816  0.816  0.556
B  0.647  0.647  0.316
C  0.981  0.981  0.525
C  0.023  0.023  0.986
B  0.364  0.364  0.172
C  0.510  0.510  0.868
C  0.323  0.323  0.672
B  0.850  0.850  0.014